# 1
Compound: La2ScAl12Co3
Source: Alexandria via LeMat-Bulk
Functional: GGA-PBE
Structure: optimized geometry

Cell and atoms, written as extended XYZ:
```
18
Lattice="4.216 2.434 6.254 -4.216 2.434 6.254 0.000 -4.868 6.254" Properties=species:S:1:pos:R:3 pbc="T T T"
La 0.000 0.000 1.532
La 0.000 0.000 17.229
Sc 0.000 0.000 9.381
Al -2.607 -1.505 8.472
Al 0.000 -1.762 6.559
Al -1.526 0.881 6.559
Al 0.000 -3.010 10.290
Al -2.607 1.505 10.290
Al -1.526 -0.881 12.202
Al 1.526 0.881 6.559
Al 2.607 -1.505 8.472
Al 0.000 3.010 8.472
Al 1.526 -0.881 12.202
Al 0.000 1.762 12.202
Al 2.607 1.505 10.290
Co -2.108 -1.217 6.254
Co -2.108 1.217 12.508
Co 0.000 2.434 6.254
```

Summary:
ΔH_f (0 K) (eV per atom): 0.023
Final energy (eV/atom): -4.556
ρ (kg/m³): 3551

***

# 2
Compound: RbCa3Fe
Source: Alexandria via LeMat-Bulk
Functional: GGA-PBE
Structure: optimized geometry

Cell and atoms, written as extended XYZ:
```
5
Lattice="5.801 0.000 0.000 0.000 5.801 0.000 0.000 0.000 5.801" Properties=species:S:1:pos:R:3 pbc="T T T"
Rb 0.000 0.000 0.000
Ca 0.000 0.000 2.900
Ca 0.000 2.900 0.000
Ca 2.900 0.000 0.000
Fe 2.900 2.900 2.900
```

Summary:
ΔH_f (0 K) (eV per atom): 1.904
Final energy (eV/atom): -1.183
ρ (kg/m³): 2225
Energy relative to the lowest polymorph listed for this composition (meV/atom): 1526

***

# 3
Compound: NiC
Source: Alexandria via LeMat-Bulk
Functional: GGA-PBE
Structure: optimized geometry

Cell and atoms, written as extended XYZ:
```
12
Lattice="5.293 0.000 0.000 0.000 5.293 0.000 0.000 0.000 5.293" Properties=species:S:1:pos:R:3 pbc="T T T"
Ni 0.000 1.323 2.647
Ni 0.000 3.970 2.647
Ni 1.323 2.647 0.000
Ni 2.647 0.000 1.323
Ni 2.647 0.000 3.970
Ni 3.970 2.647 0.000
C 0.000 2.647 1.323
C 0.000 2.647 3.970
C 1.323 0.000 2.647
C 2.647 1.323 0.000
C 2.647 3.970 0.000
C 3.970 0.000 2.647
```

Summary:
ΔH_f (0 K) (eV per atom): 1.013
Final energy (eV/atom): -6.489
ρ (kg/m³): 4750

***

# 4
Compound: Ba2CaInRh
Source: Alexandria via LeMat-Bulk
Functional: GGA-PBE
Structure: optimized geometry

Cell and atoms, written as extended XYZ:
```
5
Lattice="6.044 0.000 0.000 0.000 6.044 0.000 0.000 0.000 5.357" Properties=species:S:1:pos:R:3 pbc="T T T"
Ba 0.000 3.022 0.000
Ba 3.022 0.000 0.000
Ca 0.000 0.000 2.678
In 3.022 3.022 2.678
Rh 3.022 3.022 0.000
```

Summary:
ΔH_f (0 K) (eV per atom): -0.162
Final energy (eV/atom): -3.349
ρ (kg/m³): 4518
Energy relative to the lowest polymorph listed for this composition (meV/atom): 20

***

# 5
Compound: Tm2Sc8Sn3
Source: Alexandria via LeMat-Bulk
Functional: GGA-PBE
Structure: optimized geometry

Cell and atoms, written as extended XYZ:
```
13
Lattice="2.974 1.717 11.131 -2.974 1.717 11.131 0.000 -3.434 11.131" Properties=species:S:1:pos:R:3 pbc="T T T"
Tm 0.000 0.000 4.580
Tm 0.000 0.000 28.813
Sc 0.000 -1.738 12.907
Sc -1.505 0.869 12.907
Sc 0.000 0.000 7.636
Sc -1.505 -0.869 20.486
Sc 1.505 0.869 12.907
Sc 0.000 0.000 25.757
Sc 1.505 -0.869 20.486
Sc 0.000 1.738 20.486
Sn 0.000 0.000 10.436
Sn 0.000 0.000 16.696
Sn 0.000 0.000 22.957
```

Summary:
ΔH_f (0 K) (eV per atom): -0.035
Final energy (eV/atom): -5.543
ρ (kg/m³): 5131

***

# 6
Compound: Y6TlTe
Source: Alexandria via LeMat-Bulk
Functional: GGA-PBE
Structure: optimized geometry

Cell and atoms, written as extended XYZ:
```
16
Lattice="5.861 0.000 0.000 0.000 5.861 0.000 0.000 0.000 13.771" Properties=species:S:1:pos:R:3 pbc="T T T"
Y 0.000 0.000 3.286
Y 0.000 0.000 10.485
Y 0.000 2.931 1.637
Y 0.000 2.931 5.249
Y 0.000 2.931 8.522
Y 0.000 2.931 12.134
Y 2.931 0.000 1.637
Y 2.931 0.000 5.249
Y 2.931 0.000 8.522
Y 2.931 0.000 12.134
Y 2.931 2.931 3.600
Y 2.931 2.931 10.171
Tl 0.000 0.000 0.000
Tl 2.931 2.931 6.885
Te 0.000 0.000 6.885
Te 2.931 2.931 0.000
```

Summary:
E_form (uncorrected) (eV/atom): -0.333
Final energy (eV/atom): -5.869
ρ (kg/m³): 6075

***

# 7
Compound: SrLi2Er2Pb2
Source: Alexandria via LeMat-Bulk
Functional: GGA-PBE
Structure: optimized geometry

Cell and atoms, written as extended XYZ:
```
7
Lattice="2.461 1.421 9.385 -2.461 1.421 9.385 0.000 -2.841 9.385" Properties=species:S:1:pos:R:3 pbc="T T T"
Sr 0.000 0.000 0.000
Li 0.000 0.000 11.937
Li 0.000 0.000 16.219
Er 0.000 0.000 3.739
Er 0.000 0.000 24.418
Pb 0.000 0.000 7.128
Pb 0.000 0.000 21.028
```

Summary:
ΔH_f (0 K) (eV per atom): -0.348
Final energy (eV/atom): -3.499
ρ (kg/m³): 7173

***

# 8
Compound: AlNiC3
Source: Alexandria via LeMat-Bulk
Functional: GGA-PBE
Structure: optimized geometry

Cell and atoms, written as extended XYZ:
```
5
Lattice="3.774 0.000 0.000 0.000 3.774 0.000 0.000 0.000 3.774" Properties=species:S:1:pos:R:3 pbc="T T T"
Al 0.000 0.000 0.000
Ni 1.887 1.887 1.887
C 0.000 1.887 1.887
C 1.887 0.000 1.887
C 1.887 1.887 0.000
```

Summary:
ΔH_f (0 K) (eV per atom): 2.158
Final energy (eV/atom): -5.281
ρ (kg/m³): 3759
Energy relative to the lowest polymorph listed for this composition (meV/atom): 0

***

# 9
Compound: KHgBiPd
Source: Alexandria via LeMat-Bulk
Functional: GGA-PBE
Structure: optimized geometry

Cell and atoms, written as extended XYZ:
```
12
Lattice="4.861 0.000 0.000 -2.430 4.210 0.000 0.000 0.000 18.405" Properties=species:S:1:pos:R:3 pbc="T T T"
K 0.000 0.000 0.000
K 0.000 2.806 12.270
K 2.430 1.403 6.135
Hg 0.000 0.000 3.727
Hg 0.000 2.806 15.997
Hg 2.430 1.403 9.862
Bi 0.000 0.000 8.533
Bi 0.000 2.806 2.398
Bi 2.430 1.403 14.668
Pd 0.000 0.000 15.180
Pd 0.000 2.806 9.044
Pd 2.430 1.403 2.909
```

Summary:
ΔH_f (0 K) (eV per atom): -0.221
Final energy (eV/atom): -2.839
ρ (kg/m³): 7342

***

# 10
Compound: Sr3AlGe3
Source: Alexandria via LeMat-Bulk
Functional: GGA-PBE
Structure: optimized geometry

Cell and atoms, written as extended XYZ:
```
14
Lattice="4.632 -5.834 0.000 4.632 5.834 0.000 -0.331 0.000 7.943" Properties=species:S:1:pos:R:3 pbc="T T T"
Sr 4.632 3.788 0.000
Sr 4.467 2.922 3.972
Sr 3.111 0.000 6.576
Sr 5.822 0.000 1.368
Sr 4.467 -2.922 3.972
Sr 4.632 -3.788 0.000
Al 1.812 0.000 3.124
Al 7.122 0.000 4.819
Ge 0.437 0.000 5.229
Ge 2.941 1.497 1.473
Ge 2.941 -1.497 1.473
Ge 5.992 1.497 6.470
Ge 5.992 -1.497 6.470
Ge 8.496 0.000 2.715
```

Summary:
ΔH_f (0 K) (eV per atom): -0.395
Final energy (eV/atom): -3.630
ρ (kg/m³): 3928
Energy relative to the lowest polymorph listed for this composition (meV/atom): 149

***

# 11
Compound: Tb2Sm3PuSe6
Source: Alexandria via LeMat-Bulk
Functional: GGA-PBE
Structure: optimized geometry

Cell and atoms, written as extended XYZ:
```
12
Lattice="9.034 -2.060 0.000 9.034 2.060 0.000 -1.935 0.000 8.093" Properties=species:S:1:pos:R:3 pbc="T T T"
Tb 2.330 0.000 2.662
Tb 13.803 0.000 5.431
Sm 1.373 0.000 6.756
Sm 8.066 0.000 4.046
Sm 14.760 0.000 1.337
Pu 9.034 0.000 0.000
Se -0.459 0.000 2.012
Se 5.161 0.000 3.405
Se 4.256 0.000 7.381
Se 11.877 0.000 0.711
Se 10.972 0.000 4.688
Se 16.592 0.000 6.080
```

Summary:
E_form (uncorrected) (eV/atom): -1.774
Final energy (eV/atom): -6.662
ρ (kg/m³): 8198

***

# 12
Compound: RbNbAl2
Source: Alexandria via LeMat-Bulk
Functional: GGA-PBE
Structure: optimized geometry

Cell and atoms, written as extended XYZ:
```
16
Lattice="5.558 0.000 0.000 0.000 5.558 0.000 0.000 0.000 18.453" Properties=species:S:1:pos:R:3 pbc="T T T"
Rb 0.000 0.000 0.000
Rb 0.000 2.779 4.613
Rb 2.779 0.000 13.840
Rb 2.779 2.779 9.226
Nb 0.000 0.000 9.226
Nb 0.000 2.779 13.840
Nb 2.779 0.000 4.613
Nb 2.779 2.779 0.000
Al 0.006 1.389 11.533
Al 1.389 2.785 16.146
Al 1.389 5.552 6.920
Al 2.773 1.389 2.307
Al 2.785 4.168 2.307
Al 4.168 0.006 6.920
Al 4.168 2.773 16.146
Al 5.552 4.168 11.533
```

Summary:
ΔH_f (0 K) (eV per atom): 0.927
Final energy (eV/atom): -3.703
ρ (kg/m³): 2707
Energy relative to the lowest polymorph listed for this composition (meV/atom): 0

***

# 13
Compound: AcSm4DyS8
Source: Alexandria via LeMat-Bulk
Functional: GGA-PBE
Structure: optimized geometry

Cell and atoms, written as extended XYZ:
```
14
Lattice="4.157 2.400 6.744 -4.157 2.400 6.744 0.000 -4.800 6.744" Properties=species:S:1:pos:R:3 pbc="T T T"
Ac 0.000 0.000 0.000
Sm 0.000 -2.361 10.959
Sm -2.045 1.181 10.959
Sm 0.000 0.000 15.208
Sm 2.045 1.181 10.959
Dy 0.000 0.000 7.628
S 0.000 0.000 2.808
S 0.000 -2.116 5.857
S -1.832 1.058 5.857
S -1.936 -1.118 9.282
S 1.832 1.058 5.857
S 1.936 -1.118 9.282
S 0.000 2.236 9.282
S 0.000 0.000 12.541
```

Summary:
E_form (uncorrected) (eV/atom): -1.925
Final energy (eV/atom): -6.254
ρ (kg/m³): 5132

***

# 14
Compound: SnTe2CI
Source: Alexandria via LeMat-Bulk
Functional: GGA-PBE
Structure: optimized geometry

Cell and atoms, written as extended XYZ:
```
5
Lattice="5.815 0.000 0.000 0.000 5.815 0.000 0.000 0.000 5.929" Properties=species:S:1:pos:R:3 pbc="T T T"
Sn 0.000 0.000 0.000
Te 0.000 2.908 0.000
Te 2.908 0.000 0.000
C 2.908 2.908 2.965
I 0.000 0.000 2.965
```

Summary:
E_form (uncorrected) (eV/atom): 1.731
Final energy (eV/atom): -2.481
ρ (kg/m³): 4247
Energy relative to the lowest polymorph listed for this composition (meV/atom): 842

***

# 15
Compound: LiLaAgAu
Source: Alexandria via LeMat-Bulk
Functional: GGA-PBE
Structure: optimized geometry

Cell and atoms, written as extended XYZ:
```
8
Lattice="8.046 0.000 0.000 0.000 4.646 0.000 -2.674 0.000 4.935" Properties=species:S:1:pos:R:3 pbc="T T T"
Li 0.000 0.000 0.000
Li 4.023 2.323 0.000
La -1.337 2.323 2.566
La 2.686 0.000 2.566
Ag 1.342 2.323 0.783
Ag 5.365 0.000 0.783
Au 0.008 0.000 4.317
Au 4.031 2.323 4.317
```

Summary:
ΔH_f (0 K) (eV per atom): -0.491
Final energy (eV/atom): -3.734
ρ (kg/m³): 8115

***

# 16
Compound: Pr3Sm2Ho8
Source: Alexandria via LeMat-Bulk
Functional: GGA-PBE
Structure: optimized geometry

Cell and atoms, written as extended XYZ:
```
13
Lattice="8.138 0.000 0.000 0.000 5.251 0.000 -2.665 0.000 10.268" Properties=species:S:1:pos:R:3 pbc="T T T"
Pr 0.000 0.000 0.000
Pr -0.239 2.626 9.525
Pr 5.713 2.626 0.743
Sm 1.577 0.000 4.147
Sm 3.897 0.000 6.121
Ho -0.909 0.000 6.978
Ho 0.694 2.626 2.375
Ho 1.478 2.626 6.342
Ho 3.358 0.000 1.514
Ho 2.115 0.000 8.754
Ho 3.996 2.626 3.925
Ho 4.779 2.626 7.893
Ho 6.382 0.000 3.290
```

Summary:
ΔH_f (0 K) (eV per atom): 0.160
Final energy (eV/atom): -4.486
ρ (kg/m³): 7731
Energy relative to the lowest polymorph listed for this composition (meV/atom): 139

***

# 17
Compound: KTlTe2Se4
Source: Alexandria via LeMat-Bulk
Functional: GGA-PBE
Structure: optimized geometry

Cell and atoms, written as extended XYZ:
```
16
Lattice="7.620 0.000 0.000 0.000 7.630 0.000 0.000 0.000 9.022" Properties=species:S:1:pos:R:3 pbc="T T T"
K 0.000 0.000 0.000
K 3.810 3.815 4.511
Tl 0.000 0.000 4.511
Tl 3.810 3.815 0.000
Te 0.000 3.815 2.260
Te 0.000 3.815 6.762
Te 3.810 0.000 2.251
Te 3.810 0.000 6.771
Se 1.626 1.625 6.065
Se 1.626 6.005 2.957
Se 2.184 2.190 1.554
Se 2.184 5.440 7.469
Se 5.436 2.190 7.469
Se 5.436 5.440 1.554
Se 5.994 1.625 2.957
Se 5.994 6.005 6.065
```

Summary:
E_form (uncorrected) (eV/atom): -0.305
Final energy (eV/atom): -3.266
ρ (kg/m³): 5157

***

# 18
Compound: CePa2OsN5
Source: Alexandria via LeMat-Bulk
Functional: GGA-PBE
Structure: optimized geometry

Cell and atoms, written as extended XYZ:
```
18
Lattice="-3.263 3.263 5.919 3.263 -3.263 5.919 3.263 3.263 -5.919" Properties=species:S:1:pos:R:3 pbc="T T T"
Ce 0.000 0.000 2.959
Ce 0.000 0.000 8.878
Pa 4.437 1.173 0.000
Pa 1.173 2.090 0.000
Pa 2.090 1.173 5.919
Pa -1.173 2.090 5.919
Os 3.263 0.000 2.959
Os 0.000 3.263 2.959
N 0.000 0.000 0.000
N 2.318 0.945 -1.525
N 2.318 -0.945 4.394
N 2.318 0.945 1.525
N 2.318 -0.945 7.443
N 0.000 0.000 5.919
N 0.945 4.208 -1.525
N 0.945 2.318 4.394
N 0.945 4.208 1.525
N 0.945 2.318 7.443
```

Summary:
E_form (uncorrected) (eV/atom): -1.106
Final energy (eV/atom): -9.748
ρ (kg/m³): 11361

***

# 19
Compound: Ce4ErTh
Source: Alexandria via LeMat-Bulk
Functional: GGA-PBE
Structure: optimized geometry

Cell and atoms, written as extended XYZ:
```
6
Lattice="0.000 4.417 4.417 4.417 0.000 4.417 4.417 4.417 0.000" Properties=species:S:1:pos:R:3 pbc="T T T"
Ce 1.102 1.102 1.102
Ce 3.315 3.315 1.102
Ce 3.315 1.102 3.315
Ce 1.102 3.315 3.315
Er 4.417 4.417 4.417
Th 6.625 6.625 6.625
```

Summary:
ΔH_f (0 K) (eV per atom): 0.192
Final energy (eV/atom): -5.761
ρ (kg/m³): 9247
Energy relative to the lowest polymorph listed for this composition (meV/atom): 133

***

# 20
Compound: Lu3Nb
Source: Alexandria via LeMat-Bulk
Functional: GGA-PBE
Structure: optimized geometry

Cell and atoms, written as extended XYZ:
```
8
Lattice="4.664 0.000 0.000 0.000 4.664 0.000 0.000 0.000 9.308" Properties=species:S:1:pos:R:3 pbc="T T T"
Lu 0.000 0.000 0.000
Lu 0.000 2.332 2.327
Lu 0.000 2.332 6.981
Lu 2.332 0.000 2.327
Lu 2.332 0.000 6.981
Lu 2.332 2.332 4.654
Nb 0.000 0.000 4.654
Nb 2.332 2.332 0.000
```

Summary:
ΔH_f (0 K) (eV per atom): 0.186
Final energy (eV/atom): -5.723
ρ (kg/m³): 10134
Energy relative to the lowest polymorph listed for this composition (meV/atom): 14

***

# 21
Compound: Ac2AlZn7
Source: Alexandria via LeMat-Bulk
Functional: GGA-PBE
Structure: optimized geometry

Cell and atoms, written as extended XYZ:
```
10
Lattice="4.503 0.000 0.000 0.000 4.503 0.000 0.000 0.000 10.429" Properties=species:S:1:pos:R:3 pbc="T T T"
Ac 0.000 2.251 2.567
Ac 2.251 0.000 7.861
Al 0.000 0.000 5.214
Zn 0.000 0.000 0.000
Zn 0.000 2.251 6.582
Zn 0.000 2.251 9.123
Zn 2.251 0.000 1.306
Zn 2.251 0.000 3.847
Zn 2.251 2.251 0.000
Zn 2.251 2.251 5.214
```

Summary:
ΔH_f (0 K) (eV per atom): -0.310
Final energy (eV/atom): -2.398
ρ (kg/m³): 7373

***

# 22
Compound: AcPmH
Source: Alexandria via LeMat-Bulk
Functional: GGA-PBE
Structure: optimized geometry

Cell and atoms, written as extended XYZ:
```
6
Lattice="3.594 0.000 0.000 0.000 3.594 0.000 0.000 0.000 13.065" Properties=species:S:1:pos:R:3 pbc="T T T"
Ac 0.000 0.000 0.000
Ac 1.797 1.797 6.533
Pm 0.000 0.000 9.298
Pm 1.797 1.797 2.765
H 0.000 0.000 2.502
H 1.797 1.797 9.035
```

Summary:
Final energy (eV/atom): -4.123
ρ (kg/m³): 7341
Energy relative to the lowest polymorph listed for this composition (meV/atom): 199

***

# 23
Compound: Si2HF
Source: Alexandria via LeMat-Bulk
Functional: GGA-PBE
Structure: optimized geometry

Cell and atoms, written as extended XYZ:
```
16
Lattice="5.750 0.000 0.000 0.000 5.750 0.000 0.000 0.000 5.750" Properties=species:S:1:pos:R:3 pbc="T T T"
Si 1.438 1.438 1.438
Si 1.438 1.438 4.313
Si 1.438 4.313 1.438
Si 1.438 4.313 4.313
Si 4.313 1.438 1.438
Si 4.313 1.438 4.313
Si 4.313 4.313 1.438
Si 4.313 4.313 4.313
H 0.000 0.000 0.000
H 0.000 2.875 2.875
H 2.875 0.000 2.875
H 2.875 2.875 0.000
F 0.000 0.000 2.875
F 0.000 2.875 0.000
F 2.875 0.000 0.000
F 2.875 2.875 2.875
```

Summary:
Final energy (eV/atom): -3.630
ρ (kg/m³): 2661
Energy relative to the lowest polymorph listed for this composition (meV/atom): 230